No. 1
Sm2Ga5Pd4: relaxed, PBE.

Values from the calculation:
For the total moment, the calculation gives 0.000 μB per formula unit. For the formation energy, the calculation gives -0.748 eV per atom. The crystal system is orthorhombic.

Cell lengths 5.443, 5.373, 8.696 Å; angles 80.88, 71.76, 59.57 degrees
Element x y z (fractional)
Sm 0.875 0.000 0.251
Sm 0.125 0.000 0.749
Ga 0.500 0.000 0.000
Ga 0.000 0.500 0.000
Ga 0.500 0.500 0.000
Ga 0.250 0.500 0.500
Ga 0.750 0.500 0.500
Pd 0.470 0.321 0.739
Pd 0.530 0.679 0.261
Pd 0.209 0.321 0.261
Pd 0.791 0.679 0.739

No. 2
SmGaPd: relaxed, PBE.

Values from the calculation:
For the total moment, the calculation gives 0.000 μB per formula unit. For the formation energy, the calculation gives -0.650 eV per atom. The crystal system is tetragonal.

Cell lengths 3.475, 3.475, 5.681 Å; angles 107.81, 107.81, 90.00 degrees
Element x y z (fractional)
Sm 0.952 0.952 0.904
Pd 0.253 0.253 0.506
Ga 0.645 0.645 0.290

No. 3
Sm3Ga3Pd2: relaxed, PBE.

Values from the calculation:
For the total moment, the calculation gives 0.000 μB per formula unit. For the formation energy, the calculation gives -0.749 eV per atom. The crystal system is orthorhombic.

Cell lengths 5.615, 8.242, 15.298 Å; angles 90.00, 90.00, 90.00 degrees
Element x y z (fractional)
Sm 0.126 0.457 0.391
Sm 0.626 0.043 0.609
Sm 0.874 0.543 0.891
Sm 0.374 0.957 0.109
Sm 0.874 0.543 0.609
Sm 0.374 0.957 0.391
Sm 0.126 0.457 0.109
Sm 0.626 0.043 0.891
Sm 0.626 0.314 0.250
Sm 0.126 0.186 0.750
Sm 0.374 0.686 0.750
Sm 0.874 0.814 0.250
Ga 0.124 0.166 0.250
Ga 0.624 0.334 0.750
Ga 0.876 0.834 0.750
Ga 0.376 0.666 0.250
Ga 0.611 0.312 0.464
Ga 0.111 0.188 0.536
Ga 0.389 0.688 0.964
Ga 0.889 0.812 0.036
Ga 0.389 0.688 0.536
Ga 0.889 0.812 0.464
Ga 0.611 0.312 0.036
Ga 0.111 0.188 0.964
Pd 0.875 0.096 0.393
Pd 0.375 0.404 0.607
Pd 0.125 0.904 0.893
Pd 0.625 0.596 0.107
Pd 0.125 0.904 0.607
Pd 0.625 0.596 0.393
Pd 0.875 0.096 0.107
Pd 0.375 0.404 0.893

No. 4
Sm3Ga2Pd6: relaxed, PBE.

Values from the calculation:
For the total moment, the calculation gives 0.000 μB per formula unit. For the formation energy, the calculation gives -0.825 eV per atom. The crystal system is cubic.

Cell lengths 8.272, 8.272, 8.272 Å; angles 109.47, 109.47, 109.47 degrees
Element x y z (fractional)
Sm 0.708 0.000 0.708
Sm 0.292 0.000 0.292
Sm 0.000 0.292 0.292
Sm 0.000 0.708 0.708
Sm 0.292 0.292 0.000
Sm 0.708 0.708 0.000
Ga 0.000 0.500 0.000
Ga 0.500 0.000 0.000
Ga 0.000 0.000 0.500
Ga 0.500 0.500 0.500
Pd 0.669 0.337 0.669
Pd 0.669 0.000 0.331
Pd 0.331 0.000 0.669
Pd 0.331 0.663 0.331
Pd 0.000 0.669 0.331
Pd 0.663 0.331 0.331
Pd 0.337 0.669 0.669
Pd 0.000 0.331 0.669
Pd 0.331 0.669 0.000
Pd 0.669 0.669 0.337
Pd 0.331 0.331 0.663
Pd 0.669 0.331 0.000

No. 5
Sm2Ga5Pd3: relaxed, PBE.

Values from the calculation:
For the total moment, the calculation gives 0.000 μB per formula unit. For the formation energy, the calculation gives -0.784 eV per atom. The crystal system is orthorhombic.

Cell lengths 5.789, 8.701, 8.701 Å; angles 72.40, 70.57, 70.57 degrees
Element x y z (fractional)
Sm 0.138 0.588 0.136
Sm 0.638 0.136 0.588
Sm 0.862 0.412 0.864
Sm 0.362 0.864 0.412
Ga 0.403 0.264 0.930
Ga 0.903 0.930 0.264
Ga 0.597 0.736 0.070
Ga 0.097 0.070 0.736
Ga 0.459 0.791 0.791
Ga 0.541 0.209 0.209
Ga 0.750 0.500 0.500
Ga 0.250 0.500 0.500
Ga 0.041 0.209 0.209
Ga 0.959 0.791 0.791
Pd 0.356 0.548 0.740
Pd 0.856 0.740 0.548
Pd 0.644 0.452 0.260
Pd 0.144 0.260 0.452
Pd 0.250 0.000 0.000
Pd 0.750 0.000 0.000

No. 6
Sm7Ga2Pd2: relaxed, PBE.

Values from the calculation:
For the total moment, the calculation gives 0.000 μB per formula unit. For the formation energy, the calculation gives -0.332 eV per atom. The crystal system is orthorhombic.

Cell lengths 6.841, 7.163, 6.841 Å; angles 90.00, 108.54, 90.00 degrees
Element x y z (fractional)
Sm 0.000 0.267 0.500
Sm 0.500 0.733 0.000
Sm 0.000 0.733 0.500
Sm 0.500 0.267 0.000
Sm 0.000 0.000 0.000
Sm 0.500 0.737 0.500
Sm 0.500 0.263 0.500
Ga 0.837 0.500 0.837
Ga 0.163 0.500 0.163
Pd 0.707 0.000 0.293
Pd 0.293 0.000 0.707